(1)
The following is a DFT calculation (PBE-GGA) of a relaxed structure of GaNiGe.

Lattice parameters (Å, degrees): 4.0273 4.0273 4.0273 60.00 60.00 60.00
Closest atoms and distances in Å follow each position.
Atoms (fractional coordinates):
Ga: 0.2500 0.2500 0.2500  4 Ni 2.47
Ni: 0.0000 0.0000 0.0000  4 Ga 2.47, 4 Ge 2.47
Ge: 0.7500 0.7500 0.7500  4 Ni 2.47

## Properties
* energy relative to the lowest polymorph listed for this composition: 0.00 eV per formula unit
* calculated total energy: -14.07 eV/cell

---

(2)
The following is a DFT calculation (PBE-GGA) of a relaxed structure of GaNi2Ge.

Lattice parameters (Å, degrees): 2.8798 2.8798 14.5784 90.00 90.00 120.00
Closest atoms and distances in Å follow each position.
Atoms (fractional coordinates):
Ni: 0.6667 0.3333 0.6242  3 Ge 2.46, 3 Ga 2.48
Ni: 0.3333 0.6667 0.3758  3 Ge 2.46, 3 Ga 2.48
Ni: 0.3333 0.6667 0.1242  3 Ge 2.46, 3 Ga 2.48
Ni: 0.6667 0.3333 0.8758  3 Ge 2.46, 3 Ga 2.48
Ga: 0.3333 0.6667 0.7500  6 Ni 2.48
Ga: 0.6667 0.3333 0.2500  6 Ni 2.48
Ge: 0.0000 0.0000 0.5000  6 Ni 2.46
Ge: 0.0000 0.0000 0.0000  6 Ni 2.46

## Properties
* calculated total energy: -39.10 eV/cell

---

(3)
The following is a DFT calculation (PBE-GGA) of a relaxed structure of GaNiGe2.

Lattice parameters (Å, degrees): 4.4859 4.4859 4.4859 60.00 60.00 60.00
Closest atoms and distances in Å follow each position.
Atoms (fractional coordinates):
Ni: 0.0000 0.0000 0.0000  4 Ga 2.75, 4 Ge 2.75
Ga: 0.2500 0.2500 0.2500  4 Ni 2.75, 4 Ge 2.75
Ge: 0.7500 0.7500 0.7500  4 Ge 2.75, 4 Ni 2.75
Ge: 0.5000 0.5000 0.5000  4 Ge 2.75, 4 Ga 2.75

## Properties
* calculated total energy: -17.01 eV/cell

---

(4)
The following is a DFT calculation (PBE-GGA) of a relaxed structure of Sm4GaNi2Ge4.

Lattice parameters (Å, degrees): 8.1066 8.1066 7.0968 107.28 107.28 30.83
Closest atoms and distances in Å follow each position.
Atoms (fractional coordinates):
Ge: 0.7920 0.7920 0.7182  3 Ni 2.44-2.55
Ge: 0.0645 0.0645 0.6636  1 Ni 2.40, 1 Ge 2.56
Ge: 0.2080 0.2080 0.2818  3 Ni 2.44-2.55
Ge: 0.9355 0.9355 0.3364  1 Ni 2.40, 1 Ge 2.56
Sm: 0.4106 0.4106 0.6172  7 Ge 3.04-3.32, 3 Ni 3.12
Sm: 0.6523 0.6523 0.9422  5 Ge 2.96-3.15, 1 Ni 3.02
Sm: 0.3477 0.3477 0.0578  5 Ge 2.96-3.15, 1 Ni 3.02
Sm: 0.5894 0.5894 0.3828  7 Ge 3.04-3.32, 3 Ni 3.12
Ni: 0.7847 0.7847 0.3546  4 Ge 2.40-2.55
Ni: 0.2153 0.2153 0.6454  4 Ge 2.40-2.55
Ga: 0.0000 0.0000 0.0000  2 Ge 2.86

## Properties
* calculated total energy: -59.91 eV/cell

---

(5)
The following is a DFT calculation (PBE-GGA) of a relaxed structure of Sm2Ga9NiGe2.

Lattice parameters (Å, degrees): 5.9927 5.9927 15.0187 90.00 90.00 90.00
Closest atoms and distances in Å follow each position.
Atoms (fractional coordinates):
Ga: 0.9714 0.9714 0.5841  4 Ga 2.57-2.65
Ga: 0.9802 0.5198 0.9133  2 Ni 2.49, 3 Ga 2.63-2.76, 1 Ge 2.68
Ga: 0.0286 0.4714 0.4159  4 Ga 2.57-2.65
Ga: 0.4714 0.4714 0.4159  4 Ga 2.57-2.65
Ga: 0.0198 0.0198 0.0867  2 Ni 2.49, 3 Ga 2.63-2.76, 1 Ge 2.68
Ga: 0.4714 0.0286 0.4159  4 Ga 2.57-2.65
Ga: 0.0286 0.0286 0.4159  4 Ga 2.57-2.65
Ga: 0.5198 0.5198 0.9133  2 Ni 2.49, 3 Ga 2.63-2.76, 1 Ge 2.68
Ga: 0.5198 0.9802 0.9133  2 Ni 2.49, 3 Ga 2.63-2.76, 1 Ge 2.68
Ga: 0.5286 0.9714 0.5841  4 Ga 2.57-2.65
Ga: 0.9802 0.9802 0.9133  2 Ni 2.49, 3 Ga 2.63-2.76, 1 Ge 2.68
Ga: 0.9714 0.5286 0.5841  4 Ga 2.57-2.65
Ga: 0.7500 0.7500 0.3451  1 Ge 2.49, 4 Ga 2.59
Ga: 0.2500 0.2500 0.6549  1 Ge 2.49, 4 Ga 2.59
Ga: 0.4802 0.4802 0.0867  2 Ni 2.49, 3 Ga 2.63-2.76, 1 Ge 2.68
Ga: 0.0198 0.4802 0.0867  2 Ni 2.49, 3 Ga 2.63-2.76, 1 Ge 2.68
Ga: 0.5286 0.5286 0.5841  4 Ga 2.57-2.65
Ga: 0.4802 0.0198 0.0867  2 Ni 2.49, 3 Ga 2.63-2.76, 1 Ge 2.68
Ni: 0.2500 0.7500 0.0000  8 Ga 2.49
Ni: 0.7500 0.2500 0.0000  8 Ga 2.49
Ge: 0.7500 0.7500 0.7660  4 Ga 2.95, 4 Sm 3.00
Ge: 0.7500 0.7500 0.1796  5 Ga 2.49-2.68
Ge: 0.2500 0.2500 0.8204  5 Ga 2.49-2.68
Ge: 0.2500 0.2500 0.2340  4 Ga 2.95, 4 Sm 3.00
Sm: 0.2500 0.7500 0.7548  4 Ge 3.00-3.15, 10 Ga 3.19-3.35
Sm: 0.7500 0.2500 0.2452  4 Ge 3.00-3.15, 10 Ga 3.19-3.35
Sm: 0.7500 0.2500 0.7548  4 Ge 3.00-3.15, 10 Ga 3.19-3.35
Sm: 0.2500 0.7500 0.2452  4 Ge 3.00-3.15, 10 Ga 3.19-3.35

## Properties
* calculated total energy: -113.63 eV/cell

---

(6)
The following is a DFT calculation (PBE-GGA) of a relaxed structure of Tb3Ga3Ni2Ge.

Lattice parameters (Å, degrees): 7.8585 7.8585 3.3364 90.00 90.00 120.00
Closest atoms and distances in Å follow each position.
Atoms (fractional coordinates):
Tb: 0.0000 0.3062 0.0000  2 Ni 2.73, 2 Ge 2.93, 2 Ga 2.99
Tb: 0.6938 0.6938 0.0000  2 Ni 2.73, 2 Ge 2.93, 2 Ga 2.99
Tb: 0.3062 0.0000 0.0000  2 Ni 2.73, 2 Ge 2.93, 2 Ga 2.99
Ni: 0.3333 0.6667 0.0000  3 Tb 2.73, 6 Ga 2.98
Ni: 0.6667 0.3333 0.0000  3 Tb 2.73, 6 Ga 2.98
Ga: 0.3773 0.3773 0.5000  1 Ge 2.96, 4 Ni 2.98, 6 Tb 2.99-3.20
Ga: 0.0000 0.6227 0.5000  1 Ge 2.96, 4 Ni 2.98, 6 Tb 2.99-3.20
Ga: 0.6227 0.0000 0.5000  1 Ge 2.96, 4 Ni 2.98, 6 Tb 2.99-3.20
Ge: 0.0000 0.0000 0.5000  6 Tb 2.93, 3 Ga 2.96

## Properties
* energy relative to the lowest polymorph listed for this composition: 3.12 eV per formula unit
* calculated total energy: -40.95 eV/cell

---

(7)
The following is a DFT calculation (PBE-GGA) of a relaxed structure of Tb3Ga3Ni2Ge.

Lattice parameters (Å, degrees): 7.2731 7.2731 3.7732 90.00 90.00 120.00
Closest atoms and distances in Å follow each position.
Atoms (fractional coordinates):
Ga: 0.2769 0.0000 0.5000  2 Ni 2.65, 2 Ge 2.76
Ga: 0.7231 0.7231 0.5000  2 Ni 2.65, 2 Ge 2.76
Ga: 0.0000 0.2769 0.5000  2 Ni 2.65, 2 Ge 2.76
Tb: 0.6007 0.0000 0.0000  1 Ge 2.90, 4 Ni 2.92, 6 Ga 3.02-3.19
Tb: 0.3993 0.3993 0.0000  1 Ge 2.90, 4 Ni 2.92, 6 Ga 3.02-3.19
Tb: 0.0000 0.6007 0.0000  1 Ge 2.90, 4 Ni 2.92, 6 Ga 3.02-3.19
Ge: 0.0000 0.0000 0.0000  6 Ga 2.76, 3 Tb 2.90
Ni: 0.3333 0.6667 0.5000  3 Ga 2.65, 6 Tb 2.92
Ni: 0.6667 0.3333 0.5000  3 Ga 2.65, 6 Tb 2.92

## Properties
* energy relative to the lowest polymorph listed for this composition: 0.00 eV per formula unit
* calculated total energy: -44.07 eV/cell

---

(8)
The following is a DFT calculation (PBE-GGA) of a relaxed structure of Tb2TmGa3NiGe2.

Lattice parameters (Å, degrees): 4.1483 6.9617 6.9617 119.80 90.00 90.00
Closest atoms and distances in Å follow each position.
Atoms (fractional coordinates):
Ga: 0.5000 0.2303 0.0018  2 Ni 2.61, 2 Ge 2.74-2.79, 2 Ga 2.75-2.78
Ga: 0.5000 0.0018 0.2303  2 Ni 2.61, 2 Ge 2.74-2.79, 2 Ga 2.75-2.78
Ga: 0.5000 0.7696 0.7696  2 Ni 2.64, 2 Ge 2.74, 2 Ga 2.78
Tm: 0.0000 0.3986 0.3986  1 Ni 2.76, 4 Ge 2.95
Tb: 0.0000 0.9994 0.5993  1 Ni 2.80, 4 Ge 2.98
Tb: 0.0000 0.5993 0.9994  1 Ni 2.80, 4 Ge 2.98
Ge: 0.5000 0.3344 0.6634  3 Ga 2.74-2.79, 2 Tm 2.95, 4 Tb 2.98
Ge: 0.5000 0.6634 0.3344  3 Ga 2.74-2.79, 2 Tm 2.95, 4 Tb 2.98
Ni: 0.0000 0.0032 0.0032  6 Ga 2.61-2.64, 1 Tm 2.76, 2 Tb 2.80

## Properties
* calculated total energy: -44.09 eV/cell

---

(9)
The following is a DFT calculation (PBE-GGA) of a relaxed structure of PrGaGeO5.

Lattice parameters (Å, degrees): 5.5789 5.7417 6.9445 105.60 99.83 107.46
Closest atoms and distances in Å follow each position.
Atoms (fractional coordinates):
O: 0.5917 0.2533 0.4398  1 Ge 1.80
O: 0.9340 0.8335 0.6328  1 Ge 1.77
O: 0.3102 0.3739 0.0846  1 Ge 1.76
O: 0.0645 0.4157 0.7385  2 Ga 1.85-1.88
O: 0.9355 0.5843 0.2616  2 Ga 1.85-1.88
O: 0.7237 0.1422 0.9274  1 Ge 1.75
O: 0.6898 0.6261 0.9154  1 Ge 1.76
O: 0.4083 0.7467 0.5602  1 Ge 1.80
O: 0.2763 0.8578 0.0726  1 Ge 1.75
O: 0.0660 0.1665 0.3672  1 Ge 1.77
Ge: 0.6935 0.8342 0.7696  4 O 1.75-1.80
Ge: 0.3065 0.1658 0.2304  4 O 1.75-1.80
Pr: 0.6528 0.8115 0.2822  6 O 2.33-2.59
Pr: 0.3472 0.1885 0.7178  6 O 2.33-2.59
Ga: 0.0000 0.5000 0.5000  4 O 1.85-2.06
Ga: 0.0000 0.5000 0.0000  4 O 1.88-2.03

## Properties
* calculated total energy: -111.03 eV/cell

---

(10)
The following is a DFT calculation (PBE-GGA) of a relaxed structure of PaGa2Ge.

Lattice parameters (Å, degrees): 4.2171 4.2171 4.4200 90.00 90.00 90.00
Closest atoms and distances in Å follow each position.
Atoms (fractional coordinates):
Ga: 0.5000 0.0000 0.0000  4 Ga 2.98, 4 Ge 3.05, 4 Pa 3.05
Ga: 0.0000 0.5000 0.0000  4 Ga 2.98, 4 Ge 3.05, 4 Pa 3.05
Pa: 0.0000 0.0000 0.5000  4 Ge 2.98, 8 Ga 3.05
Ge: 0.5000 0.5000 0.5000  4 Pa 2.98, 8 Ga 3.05

## Properties
* calculated total energy: -21.91 eV/cell

---

(11)
The following is a DFT calculation (PBE-GGA) of a relaxed structure of PaGaGe2.

Lattice parameters (Å, degrees): 4.3476 4.3476 4.1356 90.00 90.00 90.00
Closest atoms and distances in Å follow each position.
Atoms (fractional coordinates):
Ge: 0.5000 0.0000 0.0000  4 Pa 3.00, 4 Ga 3.00, 4 Ge 3.07
Ge: 0.0000 0.5000 0.0000  4 Pa 3.00, 4 Ga 3.00, 4 Ge 3.07
Ga: 0.0000 0.0000 0.5000  8 Ge 3.00, 4 Pa 3.07
Pa: 0.5000 0.5000 0.5000  8 Ge 3.00, 4 Ga 3.07

## Properties
* calculated total energy: -23.62 eV/cell

---

(12)
The following is a DFT calculation (PBE-GGA) of a relaxed structure of Ga6Ge2Pd.

Lattice parameters (Å, degrees): 7.0381 7.0381 3.8407 90.00 90.00 120.00
Closest atoms and distances in Å follow each position.
Atoms (fractional coordinates):
Ga: 0.0000 0.7416 0.5000  2 Pd 2.65, 2 Ge 2.65
Ga: 0.7416 0.0000 0.5000  2 Pd 2.65, 2 Ge 2.65
Ga: 0.6154 0.6154 0.0000  1 Pd 2.71, 4 Ge 2.91
Ga: 0.0000 0.3846 0.0000  1 Pd 2.71, 4 Ge 2.91
Ga: 0.3846 0.0000 0.0000  1 Pd 2.71, 4 Ge 2.91
Ga: 0.2584 0.2584 0.5000  2 Pd 2.65, 2 Ge 2.65
Pd: 0.0000 0.0000 0.0000  9 Ga 2.65-2.71
Ge: 0.6667 0.3333 0.5000  9 Ga 2.65-2.91
Ge: 0.3333 0.6667 0.5000  9 Ga 2.65-2.91

## Properties
* calculated total energy: -33.41 eV/cell

---

Question: calculated total energy of number 3 (GaNiGe2)?
Answer: -17.01 eV/cell

---

Copy entry 3 word for word.
The following is a DFT calculation (PBE-GGA) of a relaxed structure of GaNiGe2.

Lattice parameters (Å, degrees): 4.4859 4.4859 4.4859 60.00 60.00 60.00
Closest atoms and distances in Å follow each position.
Atoms (fractional coordinates):
Ni: 0.0000 0.0000 0.0000  4 Ga 2.75, 4 Ge 2.75
Ga: 0.2500 0.2500 0.2500  4 Ni 2.75, 4 Ge 2.75
Ge: 0.7500 0.7500 0.7500  4 Ge 2.75, 4 Ni 2.75
Ge: 0.5000 0.5000 0.5000  4 Ge 2.75, 4 Ga 2.75

## Properties
* calculated total energy: -17.01 eV/cell